# DyCoC (PBE, optimized geometry)
# ΔE to the lowest computed polymorph, meV per atom: 0
# DOS(E_F), states/eV per atom: 0.63
# Formation energy from the elements, eV per atom: -0.32
# Size of the total moment, μB per cell: 0.1
# Final energy, Ry/atom: -0.536
data_DyCoC
_cell_length_a 3.6153
_cell_length_b 3.6153
_cell_length_c 6.9331
_cell_angle_alpha 90.00
_cell_angle_beta 90.00
_cell_angle_gamma 90.00
_space_group_name_H-M_alt 'P 42/m m c'
_space_group_IT_number 131
_space_group_name_Hall '-P 4c 2'
loop_
_atom_site_label
_atom_site_type_symbol
_atom_site_fract_x
_atom_site_fract_y
_atom_site_fract_z
Dy1 Dy 0.0000 0.0000 0.2500
Co1 Co 0.5000 0.5000 0.0000
C1 C 0.0000 0.5000 0.0000

***

# Pr3Si4Ir2 (PBE, optimized geometry)
# ΔE to the lowest computed polymorph, meV per atom: 6
# DOS(E_F), states/eV per atom: 0.64
# Size of the total moment, μB per cell: 0.0
# Formation energy without anion corrections, eV/atom: -0.86
# Final energy, Ry/atom: -0.502
data_Pr3Si4Ir2
_cell_length_a 11.4787
_cell_length_b 4.0465
_cell_length_c 8.4365
_cell_angle_alpha 90.00
_cell_angle_beta 99.45
_cell_angle_gamma 90.00
_space_group_name_H-M_alt 'C 1 2/m 1'
_space_group_IT_number 12
loop_
_space_group_symop_operation_xyz
'x,y,z'
'-x,-y,-z'
'-x,y,-z'
'x,-y,z'
'x+1/2,y+1/2,z'
'-x+1/2,-y+1/2,-z'
'-x+1/2,y+1/2,-z'
'x+1/2,-y+1/2,z'
loop_
_atom_site_label
_atom_site_type_symbol
_atom_site_fract_x
_atom_site_fract_y
_atom_site_fract_z
Pr1 Pr 0.0000 0.0000 0.0000
Pr2 Pr 0.1669 0.5000 0.6598
Si1 Si 0.0502 0.0000 0.3843
Si2 Si 0.2259 0.5000 0.0677
Ir1 Ir 0.1068 0.5000 0.2747

***

# Hg2Sb2Se (PBE, optimized geometry)
# ΔE to the lowest computed polymorph, meV per atom: 163
# DOS(E_F), states/eV per atom: 0.40
# Size of the total moment, μB per cell: 0.0
# Formation energy without anion corrections, eV/atom: 0.29
# Final energy, Ry/atom: -0.160
data_Hg2Sb2Se
_cell_length_a 7.9638
_cell_length_b 7.9638
_cell_length_c 4.3432
_cell_angle_alpha 90.00
_cell_angle_beta 90.00
_cell_angle_gamma 90.00
_space_group_name_H-M_alt 'P 4/m b m'
_space_group_IT_number 127
_space_group_name_Hall '-P 4 2ab'
loop_
_atom_site_label
_atom_site_type_symbol
_atom_site_fract_x
_atom_site_fract_y
_atom_site_fract_z
Hg1 Hg 0.1746 0.3254 0.0000
Sb1 Sb 0.1243 0.6243 0.5000
Se1 Se 0.0000 0.0000 0.0000

***

# Er2Mn16Os (PBE, optimized geometry)
# DOS(E_F), states/eV per atom: 1.01
# Formation energy from the elements, eV per atom: -0.02
# Size of the total moment, μB per cell: 15.1
# Final energy, Ry/atom: -0.648
data_Er2Mn16Os
_cell_length_a 8.6450
_cell_length_b 8.6450
_cell_length_c 11.6995
_cell_angle_alpha 90.00
_cell_angle_beta 90.00
_cell_angle_gamma 120.00
_space_group_name_H-M_alt 'R 3 m'
_space_group_IT_number 160
_space_group_name_Hall 'R 3 -2"'
loop_
_atom_site_label
_atom_site_type_symbol
_atom_site_fract_x
_atom_site_fract_y
_atom_site_fract_z
Er1 Er 0.0000 0.0000 0.0000
Er2 Er 0.0000 0.0000 0.2883
Mn1 Mn 0.0000 0.0000 0.5401
Mn2 Mn 0.0105 0.5053 0.5078
Mn3 Mn 0.0555 0.3881 0.3095
Mn4 Mn 0.1670 0.3341 0.4779
Mn5 Mn 0.1737 0.3474 0.1140
Os1 Os 0.0000 0.0000 0.7453

***

# Ho5Cu4Tc (PBE, optimized geometry)
# DOS(E_F), states/eV per atom: 0.64
# Formation energy from the elements, eV per atom: -0.21
# Size of the total moment, μB per cell: 0.0
# Final energy, Ry/atom: -0.380
data_Ho5Cu4Tc
_cell_length_a 3.4293
_cell_length_b 3.4293
_cell_length_c 17.3878
_cell_angle_alpha 90.00
_cell_angle_beta 90.00
_cell_angle_gamma 90.00
_space_group_name_H-M_alt 'P 4/m m m'
_space_group_IT_number 123
_space_group_name_Hall '-P 4 2'
loop_
_atom_site_label
_atom_site_type_symbol
_atom_site_fract_x
_atom_site_fract_y
_atom_site_fract_z
Ho1 Ho 0.0000 0.0000 0.0000
Ho2 Ho 0.0000 0.0000 0.2014
Ho3 Ho 0.0000 0.0000 0.4045
Cu1 Cu 0.5000 0.5000 0.0994
Cu2 Cu 0.5000 0.5000 0.3014
Tc1 Tc 0.5000 0.5000 0.5000

***

# TiIr2Rh (PBE, optimized geometry)
# DOS(E_F), states/eV per atom: 1.32
# Formation energy from the elements, eV per atom: -0.06
# Size of the total moment, μB per cell: 0.0
# Final energy, Ry/atom: -0.610
data_TiIr2Rh
_cell_length_a 3.7661
_cell_length_b 3.7661
_cell_length_c 18.0502
_cell_angle_alpha 90.00
_cell_angle_beta 90.00
_cell_angle_gamma 90.00
_space_group_name_H-M_alt 'I -4 2 d'
_space_group_IT_number 122
_space_group_name_Hall 'I -4 2bw'
loop_
_atom_site_label
_atom_site_type_symbol
_atom_site_fract_x
_atom_site_fract_y
_atom_site_fract_z
Ti1 Ti 0.0000 0.0000 0.0000
Ir1 Ir 0.2439 0.2500 0.6250
Rh1 Rh 0.0000 0.0000 0.5000

***

# Ac2GaBi (PBE, optimized geometry)
# ΔE to the lowest computed polymorph, meV per atom: 80
# DOS(E_F), states/eV per atom: 1.08
# Formation energy from the elements, eV per atom: -0.50
# Size of the total moment, μB per cell: 0.0
# Final energy, Ry/atom: -0.315
data_Ac2GaBi
_cell_length_a 8.1640
_cell_length_b 8.1640
_cell_length_c 8.1640
_cell_angle_alpha 90.00
_cell_angle_beta 90.00
_cell_angle_gamma 90.00
_space_group_name_H-M_alt 'F m -3 m'
_space_group_IT_number 225
_space_group_name_Hall '-F 4 2 3'
loop_
_atom_site_label
_atom_site_type_symbol
_atom_site_fract_x
_atom_site_fract_y
_atom_site_fract_z
Ac1 Ac 0.2500 0.2500 0.2500
Ga1 Ga 0.0000 0.0000 0.0000
Bi1 Bi 0.0000 0.0000 0.5000

***

# ReTcHg2 (PBE, optimized geometry)
# ΔE to the lowest computed polymorph, meV per atom: 755
# DOS(E_F), states/eV per atom: 0.97
# Formation energy from the elements, eV per atom: 1.07
# Size of the total moment, μB per cell: 0.0
# Final energy, Ry/atom: -0.351
data_ReTcHg2
_cell_length_a 6.5156
_cell_length_b 6.5156
_cell_length_c 6.5156
_cell_angle_alpha 90.00
_cell_angle_beta 90.00
_cell_angle_gamma 90.00
_space_group_name_H-M_alt 'F m -3 m'
_space_group_IT_number 225
_space_group_name_Hall '-F 4 2 3'
loop_
_atom_site_label
_atom_site_type_symbol
_atom_site_fract_x
_atom_site_fract_y
_atom_site_fract_z
Re1 Re 0.0000 0.0000 0.0000
Tc1 Tc 0.0000 0.0000 0.5000
Hg1 Hg 0.2500 0.2500 0.2500

***

# Li12Zn7Ag (PBE, optimized geometry)
# DOS(E_F), states/eV per atom: 0.36
# Formation energy from the elements, eV per atom: -0.07
# Size of the total moment, μB per cell: 0.0
# Final energy, Ry/atom: -0.133
data_Li12Zn7Ag
_cell_length_a 9.6037
_cell_length_b 9.6037
_cell_length_c 12.0205
_cell_angle_alpha 90.00
_cell_angle_beta 90.00
_cell_angle_gamma 120.00
_space_group_name_H-M_alt 'R -3'
_space_group_IT_number 148
_space_group_name_Hall '-R 3'
loop_
_atom_site_label
_atom_site_type_symbol
_atom_site_fract_x
_atom_site_fract_y
_atom_site_fract_z
Li1 Li 0.0300 0.5792 0.2152
Li2 Li 0.0612 0.4686 0.5816
Zn1 Zn 0.0000 0.0000 0.0000
Zn2 Zn 0.0527 0.8659 0.3036
Ag1 Ag 0.0000 0.0000 0.5000

***

# GaCu3Au6 (PBE, optimized geometry)
# ΔE to the lowest computed polymorph, meV per atom: 47
# DOS(E_F), states/eV per atom: 0.28
# Formation energy from the elements, eV per atom: 0.04
# Size of the total moment, μB per cell: 0.0
# Final energy, Ry/atom: -0.254
data_GaCu3Au6
_cell_length_a 9.1412
_cell_length_b 13.0586
_cell_length_c 2.8944
_cell_angle_alpha 90.00
_cell_angle_beta 90.00
_cell_angle_gamma 90.00
_space_group_name_H-M_alt 'P n n m'
_space_group_IT_number 58
loop_
_space_group_symop_operation_xyz
'x,y,z'
'-x,-y,-z'
'-x,-y,z'
'x,y,-z'
'x+1/2,-y+1/2,-z+1/2'
'-x+1/2,y+1/2,z+1/2'
'-x+1/2,y+1/2,-z+1/2'
'x+1/2,-y+1/2,z+1/2'
loop_
_atom_site_label
_atom_site_type_symbol
_atom_site_fract_x
_atom_site_fract_y
_atom_site_fract_z
Ga1 Ga 0.0000 0.0000 0.0000
Cu1 Cu 0.0000 0.5000 0.0000
Cu2 Cu 0.1870 0.2191 0.5000
Au1 Au 0.0198 0.6993 0.0000
Au2 Au 0.1862 0.8718 0.5000
Au3 Au 0.2260 0.5603 0.5000

***

# NpSbPdO6 (PBE, optimized geometry)
# DOS(E_F), states/eV per atom: 0.61
# Size of the total moment, μB per cell: 0.0
# Formation energy without anion corrections, eV/atom: -1.62
# Final energy, Ry/atom: -0.544
data_NpSbPdO6
_cell_length_a 5.3333
_cell_length_b 5.3333
_cell_length_c 9.5064
_cell_angle_alpha 90.00
_cell_angle_beta 90.00
_cell_angle_gamma 120.00
_space_group_name_H-M_alt 'P -3 1 c'
_space_group_IT_number 163
_space_group_name_Hall '-P 3 2c'
loop_
_atom_site_label
_atom_site_type_symbol
_atom_site_fract_x
_atom_site_fract_y
_atom_site_fract_z
Np1 Np 0.3333 0.6667 0.2500
Sb1 Sb 0.0000 0.0000 0.0000
Pd1 Pd 0.3333 0.6667 0.7500
O1 O 0.0224 0.3251 0.1226

***

# LiGd3 (PBE, optimized geometry)
# ΔE to the lowest computed polymorph, meV per atom: 67
# DOS(E_F), states/eV per atom: 1.76
# Formation energy from the elements, eV per atom: 0.13
# Size of the total moment, μB per cell: 22.6
# Final energy, Ry/atom: -0.801
data_LiGd3
_cell_length_a 3.5587
_cell_length_b 5.6371
_cell_length_c 5.9832
_cell_angle_alpha 90.00
_cell_angle_beta 90.00
_cell_angle_gamma 90.00
_space_group_name_H-M_alt 'P m m 2'
_space_group_IT_number 25
loop_
_space_group_symop_operation_xyz
'x,y,z'
'-x,-y,z'
'-x,y,z'
'x,-y,z'
loop_
_atom_site_label
_atom_site_type_symbol
_atom_site_fract_x
_atom_site_fract_y
_atom_site_fract_z
Li1 Li 0.0000 0.0000 0.0000
Gd1 Gd 0.0000 0.5000 0.6448
Gd2 Gd 0.5000 0.0000 0.5072
Gd3 Gd 0.5000 0.5000 0.1395